First-principles (PBE) data for crystalline TlReN2F at its relaxed geometry, as listed in the Alexandria database.

a b c (Å): 4.3144 4.3144 4.2940
angles (deg): 90.00 90.00 90.00
Element x y z (fractional)
Tl 0.0000 0.0000 0.0000
Re 0.5000 0.5000 0.5000
N 0.0000 0.5000 0.0000
N 0.5000 0.0000 0.0000
F 0.0000 0.0000 0.5000

Output
- SG = P4/mmm
- ρ (g cm⁻³) = 9.091
- excess energy over the best structure of this formula in the dataset (kJ/mol of atoms) = 197.9
- formation energy (no corrections) (eV/atom) = 1.946
- VASP energy (eV per atom) = -4.72